{"formula": "Y2CoSbO6", "functional": "PBE+U", "state": "relaxed", "n_ef_per_ev_fu": 2.59, "dft_energy_ev_per_atom": -7.4740, "vol_a3_per_atom": 13.49, "density_g_cm3": 5.59, "space_group": "P1", "cell": [[-0.9530, -5.0233, 2.3913], [2.9602, -4.5041, -1.6635], [4.0328, -2.2080, 3.6472]], "species": ["O", "O", "O", "O", "O", "O", "Y", "Y", "Sb", "Co"], "fractional_positions": [[0.4428, 0.6872, 0.7636], [0.6037, 0.1909, 0.2607], [0.1905, 0.9436, 0.2611], [0.9439, 0.6065, 0.2599], [0.6886, 0.1089, 0.7611], [0.1071, 0.4415, 0.7641], [0.0302, 0.0288, 0.9109], [0.5272, 0.5296, 0.4142], [0.3139, 0.3131, 0.0599], [0.8138, 0.8115, 0.5597]]}